[1]
Density functional theory data (GGA-PBE) for a geometry-optimized AcAl2GaAu4 structure.

Computed properties:
DOS at the Fermi energy, states/eV per cell: 2.94
Energy relative to the elements, meV per atom: -494

a b c (Å): 4.4275 4.4275 10.1452
angles (deg): 77.40 77.40 60.00
With the nearest neighbours (Å) after each atom.
Sites, in units of the cell vectors:
Al1 0.2395 0.2395 0.2814  6 Au 2.67-2.75
Al2 0.7605 0.7605 0.7186  6 Au 2.67-2.75
Au1 0.4012 0.4012 0.7963  3 Al 2.67, 1 Ga 2.91
Au2 0.1284 0.1284 0.6147  3 Al 2.75, 3 Ga 2.79
Au3 0.5988 0.5988 0.2037  3 Al 2.67, 1 Ga 2.91
Au4 0.8716 0.8716 0.3853  3 Al 2.75, 3 Ga 2.79
Ga1 0.5000 0.5000 0.5000  8 Au 2.79-2.91
Ac1 0.0000 0.0000 0.0000  6 Au 3.25

=====

[2]
Density functional theory data (GGA-PBE) for a geometry-optimized AcThRu structure.

Computed properties:
DOS at the Fermi energy, states/eV per cell: 3.03
Energy relative to the elements, meV per atom: -127
ΔE to the lowest computed polymorph, meV per atom: 175

a b c (Å): 3.6741 3.6741 6.8359
angles (deg): 105.59 105.59 90.00
With the nearest neighbours (Å) after each atom.
Sites, in units of the cell vectors:
Ru1 0.6922 0.6922 0.3844  4 Th 2.89
Th1 0.2924 0.2924 0.5848  4 Ru 2.89
Ac1 0.0154 0.0154 0.0308  4 Ru 3.43, 5 Th 3.50-3.83, 4 Ac 3.67

=====

Please write out number 1 again, unchanged.
Density functional theory data (GGA-PBE) for a geometry-optimized AcAl2GaAu4 structure.

Computed properties:
DOS at the Fermi energy, states/eV per cell: 2.94
Energy relative to the elements, meV per atom: -494

a b c (Å): 4.4275 4.4275 10.1452
angles (deg): 77.40 77.40 60.00
With the nearest neighbours (Å) after each atom.
Sites, in units of the cell vectors:
Al1 0.2395 0.2395 0.2814  6 Au 2.67-2.75
Al2 0.7605 0.7605 0.7186  6 Au 2.67-2.75
Au1 0.4012 0.4012 0.7963  3 Al 2.67, 1 Ga 2.91
Au2 0.1284 0.1284 0.6147  3 Al 2.75, 3 Ga 2.79
Au3 0.5988 0.5988 0.2037  3 Al 2.67, 1 Ga 2.91
Au4 0.8716 0.8716 0.3853  3 Al 2.75, 3 Ga 2.79
Ga1 0.5000 0.5000 0.5000  8 Au 2.79-2.91
Ac1 0.0000 0.0000 0.0000  6 Au 3.25